[1]
Material: Ba2NpCd2Sb4
Method: DFT, PBE
State: relaxed

Properties
final energy = -80.5 eV/cell
ΔE_f (raw) = -0.57 eV per atom
theoretical density = 6.8 g cm⁻³

Unit cell a=16.7690 b=4.6792 c=8.0710 alpha=90.00 beta=109.50 gamma=90.00
Closest atoms and distances in Å follow each position.
Space group C2/m (No. 12)
Unique sites:
Ba: 0.1329 0.0000 0.0867 (multiplicity 4)  7 Sb 3.59-3.72, 3 Cd 3.87-3.90
Np: 0.0000 0.0000 0.5000 (multiplicity 2)  6 Sb 3.14-3.23
Cd: 0.1701 0.5000 0.4867 (multiplicity 4)  4 Sb 2.88-3.08
Sb: 0.0003 0.5000 0.2412 (multiplicity 4)  1 Cd 2.88, 2 Np 3.14
Sb: 0.2010 0.0000 0.7097 (multiplicity 4)  3 Cd 2.89-3.08, 1 Np 3.23


[2]
Material: Ba2NpCdTe5
Method: DFT, PBE
State: relaxed

Properties
final energy = -172.8 eV/cell
ΔE_f (raw) = -1.09 eV per atom
theoretical density = 6.3 g cm⁻³

Unit cell a=4.6502 b=20.2776 c=14.2157 alpha=90.00 beta=90.00 gamma=90.00
Closest atoms and distances in Å follow each position.
Space group Cmc2_1 (No. 36)
Unique sites:
Ba: 0.0000 0.1142 0.0000 (multiplicity 4)  8 Te 3.51-3.90
Ba: 0.0000 0.1251 0.6287 (multiplicity 4)  7 Te 3.47-3.69
Np: 0.0000 0.2043 0.3285 (multiplicity 4)  6 Te 3.03-3.14
Cd: 0.0000 0.4425 0.7557 (multiplicity 4)  4 Te 2.78-3.01
Te: 0.0000 0.0556 0.3716 (multiplicity 4)  2 Cd 2.85, 1 Np 3.08
Te: 0.0000 0.2905 0.9709 (multiplicity 4)  2 Np 3.08
Te: 0.0000 0.3037 0.6807 (multiplicity 4)  1 Cd 3.01, 2 Np 3.14
Te: 0.0000 0.3534 0.3177 (multiplicity 4)  1 Np 3.03
Te: 0.0000 0.4976 0.0801 (multiplicity 4)  1 Cd 2.78


[3]
Material: Ba2CdO3
Method: DFT, PBE
State: relaxed

Properties
final energy = -62.3 eV/cell
ΔE_f (raw) = -1.92 eV per atom
excess energy over the best structure of this formula in the dataset = 0.000 eV per atom
theoretical density = 6.3 g cm⁻³

Unit cell a=3.7273 b=5.4894 c=11.2388 alpha=90.00 beta=90.00 gamma=90.00
Closest atoms and distances in Å follow each position.
Space group Immm (No. 71)
Unique sites:
Ba: 0.0000 0.0000 0.1636 (multiplicity 4)  6 O 2.62-2.85
Cd: 0.0000 0.0000 0.5000 (multiplicity 2)  6 O 2.47-2.74
O: 0.0000 0.5000 0.1448 (multiplicity 4)  2 Cd 2.47, 2 Ba 2.75
O: 0.0000 0.5000 0.5000 (multiplicity 2)  4 Ba 2.62, 2 Cd 2.74


[4]
Material: Ba4CdO
Method: DFT, PBE
State: relaxed

Properties
final energy = -38.0 eV/cell
ΔE_f (raw) = -0.91 eV per atom
excess energy over the best structure of this formula in the dataset = 0.000 eV per atom
theoretical density = 3.9 g cm⁻³

Unit cell a=7.1944 b=11.1509 c=7.2192 alpha=90.00 beta=97.05 gamma=90.00
Closest atoms and distances in Å follow each position.
Space group P2_1/m (No. 11)
Unique sites:
Ba: 0.1646 0.2500 0.2878 (multiplicity 2)  1 O 2.53
Ba: 0.2124 0.7500 0.3392 (multiplicity 2)  1 O 2.53
Ba: 0.2791 0.0570 0.7798 (multiplicity 4)  1 O 2.56
Cd: 0.3792 0.7500 0.8831 (multiplicity 2)  8 Ba 3.56-3.96
O: 0.1355 0.2500 0.6342 (multiplicity 2)  4 Ba 2.53-2.56


[5]
Material: Ba4CdO
Method: DFT, PBE
State: relaxed

Properties
final energy = -37.9 eV/cell
ΔE_f (raw) = -0.89 eV per atom
excess energy over the best structure of this formula in the dataset = 0.012 eV per atom
theoretical density = 4.0 g cm⁻³

Unit cell a=11.0499 b=7.5649 c=6.7533 alpha=90.00 beta=90.00 gamma=90.00
Closest atoms and distances in Å follow each position.
Space group Pmn2_1 (No. 31)
Unique sites:
Ba: 0.0000 0.1281 0.0000 (multiplicity 2)  1 O 2.54
Ba: 0.0000 0.8034 0.5450 (multiplicity 2)  1 O 2.52
Ba: 0.1895 0.3030 0.5288 (multiplicity 4)  1 O 2.55
Cd: 0.0000 0.5885 0.0632 (multiplicity 2)  5 Ba 3.51-3.86
O: 0.0000 0.1294 0.6234 (multiplicity 2)  4 Ba 2.52-2.55


[6]
Material: Ba4Cd2O
Method: DFT, PBE
State: relaxed

Properties
final energy = -81.2 eV/cell
ΔE_f (raw) = -0.83 eV per atom
excess energy over the best structure of this formula in the dataset = 0.017 eV per atom
theoretical density = 4.3 g cm⁻³

Unit cell a=10.2413 b=8.1260 c=14.5776 alpha=90.00 beta=90.00 gamma=90.00
Closest atoms and distances in Å follow each position.
Space group Pnma (No. 62)
Unique sites:
Ba: 0.0242 0.2500 0.0804 (multiplicity 4)  1 O 2.50
Ba: 0.1807 0.0053 0.3425 (multiplicity 8)  1 O 2.51
Ba: 0.1896 0.2500 0.5842 (multiplicity 4)  1 O 2.55
Cd: 0.0258 0.2500 0.8258 (multiplicity 4)  7 Ba 3.66-3.90
Cd: 0.1139 0.7500 0.5659 (multiplicity 4)  8 Ba 3.71-4.14, 1 O 4.04
O: 0.2202 0.7500 0.9214 (multiplicity 4)  4 Ba 2.50-2.55